# WF | the Alexandria database | GGA+U | optimized geometry
data_WF
_symmetry_space_group_name_H-M 'P 4/m'
_symmetry_Int_Tables_number 83
_cell_length_a 9.130
_cell_length_b 9.130
_cell_length_c 2.751
_cell_angle_alpha 90.00
_cell_angle_beta 90.00
_cell_angle_gamma 90.00
loop_
_symmetry_equiv_pos_as_xyz
'x,y,z'
'-x,-y,-z'
'-y,x,z'
'y,-x,-z'
'-x,-y,z'
'x,y,-z'
'y,-x,z'
'-y,x,-z'
loop_
_atom_site_label
_atom_site_type_symbol
_atom_site_fract_x
_atom_site_fract_y
_atom_site_fract_z
W1 W 0.088 0.187 0.000
W2 W 0.119 0.588 0.500
F1 F 0.199 0.348 0.500
F2 F 0.292 0.565 0.000
# Distance to the lowest polymorph of the same formula = 392 meV/atom